# 1
{
  "formula": "V2In2Cu",
  "functional": "PBE-GGA",
  "state": "optimized geometry",
  "sg": "P4/mbm",
  "dft_energy_ev_per_fu": -26.0,
  "crystal_system": "tetragonal",
  "cell": [[-2.241, -4.579, -4.358], [-2.354, -3.686, 5.084], [-3.491, 1.921, -0.224]],
  "species": ["In", "In", "In", "In", "Cu", "Cu", "V", "V", "V", "V"],
  "frac_coords": [[0.188, 0.688, 0.500], [0.688, 0.812, 0.500], [0.812, 0.312, 0.500], [0.312, 0.188, 0.500], [0.000, 0.000, 0.000], [0.500, 0.500, 0.000], [0.390, 0.890, 0.000], [0.890, 0.610, 0.000], [0.610, 0.110, 0.000], [0.110, 0.390, 0.000]]
}

# 2
{
  "formula": "VIn2Cu2",
  "functional": "PBE-GGA",
  "state": "optimized geometry",
  "sg": "P4/mbm",
  "dft_energy_ev_per_fu": -21.4,
  "crystal_system": "tetragonal",
  "cell": [[7.392, 0.000, 0.000], [0.000, 7.392, 0.000], [0.000, 0.000, 3.121]],
  "species": ["In", "In", "In", "In", "Cu", "Cu", "Cu", "Cu", "V", "V"],
  "frac_coords": [[0.181, 0.681, 0.500], [0.681, 0.819, 0.500], [0.819, 0.319, 0.500], [0.319, 0.181, 0.500], [0.382, 0.882, 0.000], [0.882, 0.618, 0.000], [0.618, 0.118, 0.000], [0.118, 0.382, 0.000], [0.000, 0.000, 0.000], [0.500, 0.500, 0.000]]
}